Record 1
Computed, not measured: a relaxed Co2Sn2H crystal at the PBE level of DFT.

Results
magnetic moment = 0.00 μB per formula unit
VASP energy = -47.52 eV per cell
Fermi-level density of states = 6.5 states/eV/cell

Cell and atoms, written as CIF:
```
data_Co2Sn2H
_chemical_formula_sum 'Co4 Sn4 H2'
_cell_length_a 5.9757
_cell_length_b 5.9757
_cell_length_c 3.9725
_cell_angle_alpha 90.00
_cell_angle_beta 90.00
_cell_angle_gamma 90.00
_symmetry_space_group_name_H-M 'P 4/m b m'
_symmetry_Int_Tables_number 127
_symmetry_space_group_name_Hall '-P 4 2ab'
loop_
_atom_site_label
_atom_site_type_symbol
_atom_site_fract_x
_atom_site_fract_y
_atom_site_fract_z
Co1 Co 0.1525 0.3475 0.0000
Sn1 Sn 0.1675 0.6675 0.5000
H1 H 0.0000 0.0000 0.0000
```

=====

Record 2
Computed, not measured: a relaxed Ti3PtO crystal at the PBE level of DFT.

Results
magnetic moment = 0.00 μB per formula unit
VASP energy = -37.78 eV per cell
raw formation energy = -0.619 eV/atom
Fermi-level density of states = 4.8 states/eV/cell

Cell and atoms, written as CIF:
```
data_Ti3PtO
_chemical_formula_sum 'Ti3 Pt1 O1'
_cell_length_a 4.0456
_cell_length_b 4.0456
_cell_length_c 6.1843
_cell_angle_alpha 90.00
_cell_angle_beta 90.00
_cell_angle_gamma 90.00
_symmetry_space_group_name_H-M 'P 4 m m'
_symmetry_Int_Tables_number 99
loop_
_symmetry_equiv_pos_as_xyz
'x,y,z'
'-y,x,z'
'-x,-y,z'
'y,-x,z'
'-x,y,z'
'y,x,z'
'x,-y,z'
'-y,-x,z'
loop_
_atom_site_label
_atom_site_type_symbol
_atom_site_fract_x
_atom_site_fract_y
_atom_site_fract_z
Ti1 Ti 0.0000 0.0000 0.0000
Ti2 Ti 0.0000 0.5000 0.6654
Pt1 Pt 0.0000 0.0000 0.4005
O1 O 0.5000 0.5000 0.6856
```

=====

Record 3
Computed, not measured: a relaxed NaTlSn crystal at the PBE level of DFT.

Results
magnetic moment = 0.00 μB per formula unit
energy relative to the elements = -0.13 eV/atom
VASP energy = -32.34 eV per cell
Fermi-level density of states = 4.6 states/eV/cell

Cell and atoms, written as CIF:
```
data_NaTlSn
_chemical_formula_sum 'Na4 Tl4 Sn4'
_cell_length_a 6.8702
_cell_length_b 4.7135
_cell_length_c 10.4366
_cell_angle_alpha 90.00
_cell_angle_beta 90.00
_cell_angle_gamma 90.00
_symmetry_space_group_name_H-M 'P n m a'
_symmetry_Int_Tables_number 62
loop_
_symmetry_equiv_pos_as_xyz
'x,y,z'
'-x,-y,-z'
'-x+1/2,-y,z+1/2'
'x+1/2,y,-z+1/2'
'x+1/2,-y+1/2,-z+1/2'
'-x+1/2,y+1/2,z+1/2'
'-x,y+1/2,-z'
'x,-y+1/2,z'
loop_
_atom_site_label
_atom_site_type_symbol
_atom_site_fract_x
_atom_site_fract_y
_atom_site_fract_z
Na1 Na 0.1236 0.2500 0.0940
Tl1 Tl 0.1215 0.2500 0.7525
Sn1 Sn 0.1130 0.2500 0.4352
```